(1)
A relaxed Tb5PmHo2Sc crystal, computed with PBE.

Cell and atoms, written as POSCAR:
```
Tb5PmHo2Sc
1.0
2.7841 -9.8880 0.0000
2.7841 9.8880 0.0000
0.0000 0.0000 10.3896
Tb Pm Ho Sc
10 2 4 2
Direct
0.0184 0.9816 0.5000 Tb
0.1236 0.8764 0.7806 Tb
0.2015 0.7985 0.4657 Tb
0.2231 0.7769 0.0818 Tb
0.4817 0.5183 0.7786 Tb
0.5183 0.4817 0.2786 Tb
0.7769 0.2231 0.5818 Tb
0.7985 0.2015 0.9657 Tb
0.8764 0.1236 0.2806 Tb
0.9816 0.0184 0.0000 Tb
0.0879 0.9121 0.2151 Pm
0.9121 0.0879 0.7151 Pm
0.3860 0.6140 0.4961 Ho
0.3881 0.6119 0.0739 Ho
0.6119 0.3881 0.5739 Ho
0.6140 0.3860 0.9961 Ho
0.3043 0.6957 0.7751 Sc
0.6957 0.3043 0.2751 Sc
```

Total magnetic moment   0.0001 μB/atom
Electronic total energy   -4.65 eV/atom
Calculated formation energy   0.168 eV/atom
DOS at the Fermi energy   1.611 states/eV per atom


(2)
A relaxed TbPmHo2Sc crystal, computed with PBE.

Cell and atoms, written as POSCAR:
```
TbPmHo2Sc
1.0
4.0931 -5.6204 0.0000
4.0931 5.6204 0.0000
0.0000 0.0000 7.0751
Tb Pm Ho Sc
2 2 4 2
Direct
0.2337 0.7663 0.7500 Tb
0.7663 0.2337 0.2500 Tb
0.2304 0.7696 0.2500 Pm
0.7696 0.2304 0.7500 Pm
0.1969 0.1969 0.0000 Ho
0.1969 0.1969 0.5000 Ho
0.8031 0.8031 0.0000 Ho
0.8031 0.8031 0.5000 Ho
0.4960 0.5040 0.2500 Sc
0.5040 0.4960 0.7500 Sc
```

Total magnetic moment   0.0001 μB/atom
Electronic total energy   -4.64 eV/atom
Calculated formation energy   0.333 eV/atom
DOS at the Fermi energy   1.221 states/eV per atom


(3)
A relaxed Tb2Pm5HoSc crystal, computed with PBE.

Cell and atoms, written as POSCAR:
```
Tb2Pm5HoSc
1.0
2.6785 -10.9365 0.0000
2.6785 10.9365 0.0000
0.0000 0.0000 10.1830
Tb Pm Ho Sc
4 10 2 2
Direct
0.1157 0.8843 0.5009 Tb
0.1157 0.8843 0.9991 Tb
0.8843 0.1157 0.0009 Tb
0.8843 0.1157 0.4991 Tb
0.0008 0.9992 0.2500 Pm
0.2786 0.7214 0.0622 Pm
0.2786 0.7214 0.4378 Pm
0.3732 0.6268 0.7500 Pm
0.5000 0.5000 0.0000 Pm
0.5000 0.5000 0.5000 Pm
0.6268 0.3732 0.2500 Pm
0.7214 0.2786 0.5622 Pm
0.7214 0.2786 0.9378 Pm
0.9992 0.0008 0.7500 Pm
0.3985 0.6015 0.2500 Ho
0.6015 0.3985 0.7500 Ho
0.2136 0.7864 0.7500 Sc
0.7864 0.2136 0.2500 Sc
```

Total magnetic moment   0.0000 μB/atom
Electronic total energy   -4.76 eV/atom
Calculated formation energy   0.125 eV/atom
DOS at the Fermi energy   1.424 states/eV per atom


(4)
A relaxed Tb6PmHo2Sc3 crystal, computed with PBE.

Cell and atoms, written as POSCAR:
```
Tb6PmHo2Sc3
1.0
3.0326 -5.2489 0.0000
3.0326 5.2489 0.0000
-2.0147 0.0000 11.3049
Tb Pm Ho Sc
6 1 2 3
Direct
0.0795 0.4132 0.2403 Tb
0.2531 0.2531 0.7598 Tb
0.4132 0.0795 0.2403 Tb
0.5868 0.9205 0.7597 Tb
0.7469 0.7469 0.2402 Tb
0.9205 0.5868 0.7597 Tb
0.5000 0.5000 0.5000 Pm
0.1666 0.8334 0.5000 Ho
0.8334 0.1666 0.5000 Ho
0.0000 0.0000 0.0000 Sc
0.3331 0.6669 0.0000 Sc
0.6669 0.3331 0.0000 Sc
```

Total magnetic moment   0.0001 μB/atom
Electronic total energy   -5.01 eV/atom
Calculated formation energy   0.044 eV/atom
DOS at the Fermi energy   1.400 states/eV per atom


(5)
A relaxed TbPmHoSc crystal, computed with PBE.

Cell and atoms, written as POSCAR:
```
TbPmHoSc
1.0
0.0000 3.9370 3.9370
3.9370 0.0000 3.9370
3.9370 3.9370 0.0000
Tb Pm Ho Sc
1 1 1 1
Direct
0.0000 0.0000 0.0000 Tb
0.5000 0.5000 0.5000 Pm
0.2500 0.2500 0.2500 Ho
0.7500 0.7500 0.7500 Sc
```

Offset from the most stable computed form   1.6 kJ/mol of atoms
Total magnetic moment   0.0000 μB/atom
Electronic total energy   -4.96 eV/atom
Calculated formation energy   0.113 eV/atom
DOS at the Fermi energy   1.594 states/eV per atom


(6)
A relaxed Tb6Pm3HoSc2 crystal, computed with PBE.

Cell and atoms, written as POSCAR:
```
Tb6Pm3HoSc2
1.0
3.0651 -5.3077 0.0000
3.0651 5.3077 0.0000
-2.0419 0.0000 11.4943
Tb Pm Ho Sc
6 3 1 2
Direct
0.0831 0.4190 0.7586 Tb
0.2448 0.2448 0.2414 Tb
0.4190 0.0831 0.7586 Tb
0.5810 0.9169 0.2414 Tb
0.7552 0.7552 0.7586 Tb
0.9169 0.5810 0.2414 Tb
0.0000 0.0000 0.5000 Pm
0.3332 0.6668 0.5000 Pm
0.6668 0.3332 0.5000 Pm
0.5000 0.5000 0.0000 Ho
0.1668 0.8332 0.0000 Sc
0.8332 0.1668 0.0000 Sc
```

Total magnetic moment   0.0000 μB/atom
Electronic total energy   -4.90 eV/atom
Calculated formation energy   0.038 eV/atom
DOS at the Fermi energy   1.419 states/eV per atom


Repeat the fourth record exactly.
A relaxed Tb6PmHo2Sc3 crystal, computed with PBE.

Cell and atoms, written as POSCAR:
```
Tb6PmHo2Sc3
1.0
3.0326 -5.2489 0.0000
3.0326 5.2489 0.0000
-2.0147 0.0000 11.3049
Tb Pm Ho Sc
6 1 2 3
Direct
0.0795 0.4132 0.2403 Tb
0.2531 0.2531 0.7598 Tb
0.4132 0.0795 0.2403 Tb
0.5868 0.9205 0.7597 Tb
0.7469 0.7469 0.2402 Tb
0.9205 0.5868 0.7597 Tb
0.5000 0.5000 0.5000 Pm
0.1666 0.8334 0.5000 Ho
0.8334 0.1666 0.5000 Ho
0.0000 0.0000 0.0000 Sc
0.3331 0.6669 0.0000 Sc
0.6669 0.3331 0.0000 Sc
```

Total magnetic moment   0.0001 μB/atom
Electronic total energy   -5.01 eV/atom
Calculated formation energy   0.044 eV/atom
DOS at the Fermi energy   1.400 states/eV per atom


> The lowest DOS at the Fermi energy belongs to which entry?

TbPmHo2Sc